No. 1
The following is a PBE calculation of MgReMo after structural relaxation, from Alexandria via LeMat-Bulk.

The structure belongs to space group P3m1 (No. 156); the cell edges are 4.5003, 4.5003 and 2.7067 Å and the angles 90.00°, 90.00° and 120.00°. Symmetry generates all atoms from Mg at (0.0000, 0.0000, 0.0000), Re at (0.6667, 0.3333, 0.6244) and Mo at (0.3333, 0.6667, 0.3784).

The value obtained for the formation energy is 0.129 eV per atom. The calculation puts the density of states at the Fermi level at 1.6 states/eV per cell. The distance to the lowest polymorph of the same formula is 0.00 eV per formula unit.



No. 2
The following is a PBE calculation of Rb2GaSnCl5 after structural relaxation, from Alexandria via LeMat-Bulk.

The structure belongs to space group Cmc2_1 (No. 36); the cell edges are 4.438, 18.830 and 14.769 Å and the angles 90.00°, 90.00° and 90.00°. Symmetry generates all atoms from Rb at (0.000, 0.086, 0.000), Rb at (0.000, 0.136, 0.645), Ga at (0.000, 0.464, 0.793), Sn at (0.000, 0.224, 0.374), Cl at (0.000, 0.083, 0.416), Cl at (0.000, 0.262, 0.006), Cl at (0.000, 0.300, 0.751), Cl at (0.000, 0.378, 0.332) and Cl at (0.000, 0.499, 0.117).

The calculation puts the density of states at the Fermi level at 0.0 states/eV per cell. For the uncorrected formation energy, the calculation gives -1344.5 meV/atom.



No. 3
The following is a PBE calculation of Ba5GeBr5 after structural relaxation, from Alexandria via LeMat-Bulk.

The structure belongs to space group C2/m (No. 12); the cell edges are 15.255, 6.697 and 9.565 Å and the angles 90.00°, 108.48° and 90.00°. Symmetry generates all atoms from Ba at (0.000, 0.000, 0.000), Ba at (0.154, 0.500, 0.837), Ba at (0.156, 0.500, 0.318), Ge at (0.000, 0.500, 0.000), Br at (0.000, 0.500, 0.500), Br at (0.173, 0.000, 0.837) and Br at (0.176, 0.000, 0.336).

The calculation puts the density of states at the Fermi level at 8.3 states/eV per cell. For the uncorrected formation energy, the calculation gives -1643.6 meV/atom.



No. 4
The following is a PBE calculation of Sb2PdCI after structural relaxation, from Alexandria via LeMat-Bulk.

The structure belongs to space group P4/mmm (No. 123); the cell edges are 5.210, 5.210 and 5.531 Å and the angles 90.00°, 90.00° and 90.00°. Symmetry generates all atoms from Sb at (0.000, 0.500, 0.000), Pd at (0.000, 0.000, 0.000), C at (0.500, 0.500, 0.500) and I at (0.000, 0.000, 0.500).

The calculation puts the density of states at the Fermi level at 5.4 states/eV per cell. The distance to the lowest polymorph of the same formula is 2.72 eV per formula unit. For the uncorrected formation energy, the calculation gives 1642.4 meV/atom.



No. 5
The following is a PBE calculation of RuPt2Rh after structural relaxation, from Alexandria via LeMat-Bulk.

The structure belongs to space group Fmmm (No. 69); the cell edges are 5.499, 5.510 and 7.816 Å and the angles 90.00°, 90.00° and 90.00°. Symmetry generates all atoms from Ru at (0.000, 0.000, 0.000), Pt at (0.250, 0.250, 0.250) and Rh at (0.000, 0.000, 0.500).

The value obtained for the formation energy is 0.011 eV per atom. The calculation puts the density of states at the Fermi level at 22.8 states/eV per cell. The distance to the lowest polymorph of the same formula is 0.20 eV per formula unit.



No. 6
The following is a PBE calculation of YTc2Rh after structural relaxation, from Alexandria via LeMat-Bulk.

The structure belongs to space group P4/mmm (No. 123); the cell edges are 3.805, 3.805 and 4.776 Å and the angles 90.00°, 90.00° and 90.00°. Symmetry generates all atoms from Y at (0.000, 0.000, 0.000), Tc at (0.000, 0.500, 0.500) and Rh at (0.500, 0.500, 0.000).

The value obtained for the formation energy is 0.080 eV per atom. The calculation puts the density of states at the Fermi level at 3.8 states/eV per cell. The distance to the lowest polymorph of the same formula is 0.47 eV per formula unit.



What size of the total moment values result from the calculations? In sequence: 0.00, 0.00, 0.00, 1.76, 0.00, 0.00 μB/f.u..